No. 1
9
Lattice="4.044 0.000 0.866 1.826 4.491 1.347 0.272 0.054 8.608" Properties=species:S:1:pos:R:3 comment="Na2Ag3Pd4, relaxed, DFT PBE" crystal_system=monoclinic delta_e_f_ev_per_atom=-0.038 vol_a3_per_cell=155.1 spacegroup=C2/m mass_density_g_cm3=8.516 pbc="T T T"
Na 1.616 0.513 2.329
Na 4.526 4.031 8.492
Ag 2.919 3.491 6.120
Ag 0.000 0.000 0.000
Ag 3.223 1.053 4.700
Pd 3.740 2.500 2.285
Pd 4.838 1.563 7.033
Pd 1.304 2.982 3.787
Pd 2.402 2.044 8.535

No. 2
5
Lattice="3.882 0.000 0.000 0.000 3.882 0.000 1.941 1.941 6.670" Properties=species:S:1:pos:R:3 comment="NaAg2Pd2, relaxed, DFT PBE" crystal_system=tetragonal delta_e_f_ev_per_atom=0.119 vol_a3_per_cell=100.5 spacegroup=I4/mmm mass_density_g_cm3=7.459 pbc="T T T"
Na 0.000 0.000 0.000
Pd 3.882 1.941 3.335
Pd 1.941 3.882 3.335
Ag 1.941 1.941 1.360
Ag 3.882 3.882 5.310

No. 3
8
Lattice="-2.569 -1.765 2.061 5.254 -1.055 5.644 -2.023 6.765 3.272" Properties=species:S:1:pos:R:3 comment="Na6AgPd, relaxed, DFT PBE" crystal_system=orthorhombic delta_e_f_ev_per_atom=-0.008 vol_a3_per_cell=226.3 spacegroup=Amm2 mass_density_g_cm3=2.585 pbc="T T T"
Na 1.359 5.101 6.061
Na -0.027 2.651 2.235
Na 2.329 2.088 4.690
Na 2.197 2.681 8.420
Na 0.287 -0.693 3.151
Na 3.349 -1.271 6.472
Ag -0.810 3.199 5.117
Pd -0.897 5.555 3.639

No. 4
12
Lattice="5.784 0.000 0.000 2.892 5.009 0.000 2.892 1.670 7.174" Properties=species:S:1:pos:R:3 comment="NaAg3Pd2, relaxed, DFT PBE" crystal_system=trigonal delta_e_f_ev_per_atom=-0.035 vol_a3_per_cell=207.9 spacegroup=R-3m mass_density_g_cm3=8.938 pbc="T T T"
Na 8.677 5.009 4.840
Na 2.892 1.670 2.334
Ag 4.348 4.169 2.334
Ag 5.784 1.681 2.334
Ag 7.220 4.169 2.334
Ag 5.784 4.998 4.840
Ag 7.220 2.510 4.840
Ag 4.348 2.510 4.840
Pd 0.000 0.000 0.000
Pd 1.446 2.505 0.000
Pd 4.338 2.505 0.000
Pd 2.892 0.000 0.000

No. 5
20
Lattice="-0.053 -4.270 -3.260 8.360 -2.708 3.412 -8.741 -2.073 2.857" Properties=species:S:1:pos:R:3 comment="NaAg6Pd3, relaxed, DFT PBE" crystal_system=orthorhombic delta_e_f_ev_per_atom=0.013 vol_a3_per_cell=363.0 spacegroup=Cmc2_1 mass_density_g_cm3=9.052 pbc="T T T"
Na -6.075 -2.174 2.941
Na 5.668 -4.746 1.693
Ag 0.411 -3.618 4.072
Ag -0.967 -5.703 2.398
Ag -4.228 -4.475 3.136
Ag 3.647 -6.904 1.762
Ag 8.251 -3.898 2.497
Ag -3.287 -5.446 0.615
Ag 2.854 -3.538 2.444
Ag -8.688 -5.405 0.319
Ag -4.088 -2.708 0.818
Ag 3.788 -5.136 -0.556
Ag 0.552 -1.850 1.753
Ag -0.826 -3.935 0.080
Pd 1.676 -6.134 3.573
Pd -2.327 -3.849 5.072
Pd -1.878 -3.099 2.491
Pd 1.452 -5.359 0.970
Pd -2.083 -0.789 1.059
Pd 1.920 -3.074 -0.440

No. 6
14
Lattice="6.961 -0.163 0.280 -2.509 6.495 -0.280 -1.943 -3.365 5.785" Properties=species:S:1:pos:R:3 comment="NaAg8Pd5, relaxed, DFT PBE" crystal_system=tetragonal delta_e_f_ev_per_atom=0.096 vol_a3_per_cell=258.4 spacegroup=I-4 mass_density_g_cm3=9.112 pbc="T T T"
Na -0.972 0.683 4.268
Ag -1.000 4.509 0.299
Ag 4.957 -1.947 4.052
Ag 3.758 0.482 1.989
Ag 1.895 -0.657 5.500
Ag 1.691 2.868 1.586
Ag 0.130 3.101 4.848
Ag 0.931 0.271 2.369
Ag -2.326 3.243 2.494
Pd -0.730 1.711 0.712
Pd 3.321 5.150 1.135
Pd 2.513 1.767 4.196
Pd 2.509 -1.764 3.032
Pd -0.087 -2.692 5.527

No. 7
12
Lattice="-1.472 -1.859 -1.702 2.801 -6.180 4.326 -7.458 0.643 5.748" Properties=species:S:1:pos:R:3 comment="NaAg4Pd, relaxed, DFT PBE" crystal_system=orthorhombic delta_e_f_ev_per_atom=-0.007 vol_a3_per_cell=221.7 spacegroup=Pmma mass_density_g_cm3=8.402 pbc="T T T"
Na -4.085 -2.845 6.641
Na -0.572 -2.691 3.434
Ag -3.729 0.322 2.874
Ag 0.000 0.000 0.000
Ag -3.867 -5.880 7.264
Ag -2.263 -1.515 1.108
Ag 1.053 -5.127 2.186
Ag -7.182 -2.268 6.187
Ag -2.440 -4.825 4.877
Ag -3.690 -2.570 3.495
Pd -5.073 -0.667 5.116
Pd 0.416 -4.869 4.958

No. 8
11
Lattice="6.954 -0.314 -0.462 -3.494 6.021 0.462 -3.494 -1.784 5.769" Properties=species:S:1:pos:R:3 comment="NaAg6Pd4, relaxed, DFT PBE" crystal_system=tetragonal delta_e_f_ev_per_atom=0.292 vol_a3_per_cell=228.8 spacegroup=I-42m mass_density_g_cm3=7.953 pbc="T T T"
Na 0.000 0.000 0.000
Ag -4.230 3.765 2.956
Ag -4.230 1.365 4.588
Ag 3.132 0.803 1.181
Ag 1.730 -1.049 2.653
Ag -1.694 2.227 3.275
Ag 1.730 2.853 0.000
Pd -2.394 -0.419 3.407
Pd 0.701 1.606 2.362
Pd -2.394 3.322 0.863
Pd -2.935 3.650 5.368

No. 9
4
Lattice="2.808 5.181 -2.568 -4.975 -3.865 1.278 -2.444 -1.447 5.767" Properties=species:S:1:pos:R:3 comment="NaAg2Pd, relaxed, DFT PBE" crystal_system=orthorhombic delta_e_f_ev_per_atom=0.147 vol_a3_per_cell=80.8 spacegroup=Immm mass_density_g_cm3=7.090 pbc="T T T"
Na 0.000 0.000 0.000
Ag -1.983 -1.420 1.883
Ag -5.436 -3.892 5.162
Pd -3.710 -2.656 3.522

No. 10
13
Lattice="5.529 0.000 0.000 2.765 6.727 0.000 2.765 0.000 6.681" Properties=species:S:1:pos:R:3 comment="NaAg10Pd2, relaxed, DFT PBE" crystal_system=orthorhombic delta_e_f_ev_per_atom=0.007 vol_a3_per_cell=248.5 spacegroup=Fmmm mass_density_g_cm3=8.784 pbc="T T T"
Na 0.000 0.000 0.000
Ag 5.529 4.348 4.385
Ag 5.529 2.379 2.296
Ag 8.294 2.379 4.385
Ag 2.765 4.348 2.296
Ag 1.382 0.000 3.340
Ag 4.147 0.000 3.340
Ag 2.765 1.482 1.447
Ag 8.294 5.245 5.234
Ag 5.529 5.245 1.447
Ag 5.529 1.482 5.234
Pd 1.382 3.364 0.000
Pd 4.147 3.364 0.000

No. 11
12
Lattice="-3.765 1.684 -3.996 -2.298 -4.187 -1.148 -4.124 1.941 6.275" Properties=species:S:1:pos:R:3 comment="NaAg3Pd2, relaxed, DFT PBE" crystal_system=triclinic delta_e_f_ev_per_atom=-0.045 vol_a3_per_cell=209.6 spacegroup=P-1 mass_density_g_cm3=8.864 pbc="T T T"
Na -7.433 2.093 0.425
Na -2.755 -2.655 0.707
Ag -4.637 -1.812 -1.290
Ag -5.551 1.251 2.422
Ag -4.034 0.497 -3.073
Ag -2.943 0.064 1.643
Ag -7.245 -0.625 -0.511
Ag -6.154 -1.059 4.205
Pd -5.403 -1.393 1.468
Pd -2.191 -0.269 -1.094
Pd -7.997 -0.292 2.226
Pd -4.785 0.831 -0.336

No. 12
10
Lattice="-3.520 2.930 -6.553 4.864 -4.394 -4.577 -1.938 -2.204 0.056" Properties=species:S:1:pos:R:3 comment="NaAg2Pd2, relaxed, DFT PBE" crystal_system=tetragonal delta_e_f_ev_per_atom=-0.048 vol_a3_per_cell=187.6 spacegroup=P4/mbm mass_density_g_cm3=7.993 pbc="T T T"
Na 0.000 0.000 0.000
Na 0.672 -0.732 -5.565
Pd 2.938 -2.748 -6.479
Pd -0.052 -0.172 -8.598
Pd -1.594 1.284 -4.652
Pd 1.396 -1.292 -2.533
Ag 1.694 -3.550 -4.170
Ag 0.696 -2.775 -8.165
Ag -2.288 -0.118 -6.904
Ag -1.291 -0.893 -2.910